# 1
## YTlZn (GGA-PBE)

Data for crystalline YTlZn at its relaxed geometry.

Cell lengths 6.535, 4.335, 6.535 Å; angles 109.37, 56.42, 109.38 degrees
Fractional positions:
Y (0.278, 0.730, 0.948)
Y (0.895, 0.346, 0.564)
Zn (0.461, 0.413, 0.130)
Zn (0.712, 0.663, 0.382)
Tl (0.839, 0.038, 0.004)
Tl (0.334, 0.038, 0.509)

Output
ΔH_f (0 K): -0.271 eV/atom
SG: No. 71
energy: -21.84 eV for the cell shown
V: 23.8 Å³ per atom
Fermi-level density of states: 3.21 states/eV/cell

# 2
## TbCdPb2 (GGA-PBE)

Data for crystalline TbCdPb2 at its relaxed geometry.

Cell lengths 4.687, 4.687, 7.007 Å; angles 70.46, 70.46, 60.00 degrees
Fractional positions:
Pb (0.248, 0.248, 0.256)
Pb (0.085, 0.085, 0.746)
Cd (0.495, 0.495, 0.514)
Tb (0.672, 0.672, 0.983)

Output
ΔH_f (0 K): -0.089 eV/atom
SG: No. 160
energy: -13.32 eV for the cell shown
V: 30.7 Å³ per atom
energy above the lowest structure with this stoichiometry: 232 meV per atom
Fermi-level density of states: 2.39 states/eV/cell

# 3
## La12Y3Zn (GGA-PBE)

Data for crystalline La12Y3Zn at its relaxed geometry.

Cell lengths 5.157, 5.157, 20.759 Å; angles 90.00, 90.00, 90.00 degrees
Fractional positions:
La (0.500, 0.000, 0.627)
La (0.000, 0.500, 0.627)
La (0.000, 0.500, 0.118)
La (0.500, 0.500, 0.000)
La (0.000, 0.500, 0.882)
La (0.000, 0.500, 0.373)
La (0.500, 0.500, 0.755)
La (0.500, 0.000, 0.118)
La (0.500, 0.500, 0.500)
La (0.500, 0.000, 0.373)
La (0.500, 0.500, 0.245)
La (0.500, 0.000, 0.882)
Y (0.000, 0.000, 0.755)
Y (0.000, 0.000, 0.245)
Y (0.000, 0.000, 0.500)
Zn (0.000, 0.000, 0.000)

Output
ΔH_f (0 K): 0.001 eV/atom
SG: No. 123
energy: -79.79 eV for the cell shown
V: 34.5 Å³ per atom
Fermi-level density of states: 22.59 states/eV/cell

# 4
## TbTmIn2Se4 (GGA-PBE)

Data for crystalline TbTmIn2Se4 at its relaxed geometry.

Cell lengths 4.133, 7.156, 8.110 Å; angles 107.11, 90.00, 90.00 degrees
Fractional positions:
In (0.000, 0.500, 0.500)
In (0.500, 0.000, 0.500)
Se (0.500, 0.231, 0.206)
Se (0.000, 0.740, 0.208)
Se (0.000, 0.260, 0.792)
Se (0.500, 0.769, 0.794)
Tm (0.000, 0.000, 0.000)
Tb (0.500, 0.500, 0.000)

Output
SG: No. 10
energy: -38.88 eV for the cell shown
V: 28.7 Å³ per atom
formation energy (no corrections): -1.295 eV per atom

# 5
## RbCd3Rh (GGA-PBE)

Data for crystalline RbCd3Rh at its relaxed geometry.

Cell lengths 7.306, 7.306, 7.306 Å; angles 61.31, 61.31, 61.31 degrees
Fractional positions:
Rb (0.903, 0.903, 0.903)
Rb (0.097, 0.097, 0.097)
Cd (0.439, 0.439, 0.860)
Cd (0.860, 0.439, 0.439)
Cd (0.561, 0.561, 0.140)
Cd (0.561, 0.140, 0.561)
Cd (0.439, 0.860, 0.439)
Cd (0.140, 0.561, 0.561)
Rh (0.696, 0.696, 0.696)
Rh (0.304, 0.304, 0.304)

Output
ΔH_f (0 K): 0.038 eV/atom
SG: No. 166
energy: -21.75 eV for the cell shown
V: 28.4 Å³ per atom
energy above the lowest structure with this stoichiometry: 145 meV per atom
Fermi-level density of states: 5.99 states/eV/cell

# 6
## PaTiZnGa (GGA-PBE)

Data for crystalline PaTiZnGa at its relaxed geometry.

Cell lengths 4.799, 4.799, 4.799 Å; angles 60.00, 60.00, 60.00 degrees
Fractional positions:
Pa (0.000, 0.000, 0.000)
Zn (0.750, 0.750, 0.750)
Ti (0.500, 0.500, 0.500)
Ga (0.250, 0.250, 0.250)

Output
ΔH_f (0 K): -0.099 eV/atom
SG: No. 216
energy: -22.09 eV for the cell shown
V: 19.5 Å³ per atom
Fermi-level density of states: 6.62 states/eV/cell

# 7
## Er7Zn2Hg2 (GGA-PBE)

Data for crystalline Er7Zn2Hg2 at its relaxed geometry.

Cell lengths 6.627, 7.505, 6.627 Å; angles 90.00, 111.10, 90.00 degrees
Fractional positions:
Er (0.500, 0.722, 0.000)
Er (0.500, 0.245, 0.500)
Er (0.000, 0.000, 0.000)
Er (0.500, 0.755, 0.500)
Er (0.500, 0.278, 0.000)
Er (0.000, 0.722, 0.500)
Er (0.000, 0.278, 0.500)
Hg (0.188, 0.500, 0.188)
Hg (0.812, 0.500, 0.812)
Zn (0.291, 0.000, 0.709)
Zn (0.709, 0.000, 0.291)

Output
ΔH_f (0 K): -0.051 eV/atom
SG: No. 65
energy: -35.65 eV for the cell shown
V: 28.0 Å³ per atom
Fermi-level density of states: 10.56 states/eV/cell

# 8
## SrSmSnAu (GGA-PBE)

Data for crystalline SrSmSnAu at its relaxed geometry.

Cell lengths 5.447, 5.447, 5.447 Å; angles 60.00, 60.00, 60.00 degrees
Fractional positions:
Sn (0.250, 0.250, 0.250)
Sr (0.500, 0.500, 0.500)
Au (0.750, 0.750, 0.750)
Sm (0.000, 0.000, 0.000)

Output
ΔH_f (0 K): -0.690 eV/atom
SG: No. 216
energy: -16.44 eV for the cell shown
V: 28.6 Å³ per atom
Fermi-level density of states: 1.59 states/eV/cell

# 9
## PaCo2Tc (GGA-PBE)

Data for crystalline PaCo2Tc at its relaxed geometry.

Cell lengths 3.840, 3.940, 3.940 Å; angles 90.00, 90.00, 90.00 degrees
Fractional positions:
Co (0.000, 0.500, 0.000)
Co (0.000, 0.000, 0.500)
Tc (0.500, 0.500, 0.500)
Pa (0.500, 0.000, 0.000)

Output
ΔH_f (0 K): -0.189 eV/atom
SG: No. 123
energy: -34.83 eV for the cell shown
V: 14.9 Å³ per atom
energy above the lowest structure with this stoichiometry: 0 meV per atom
Fermi-level density of states: 4.43 states/eV/cell

# 10
## Sr2RhSe (GGA-PBE)

Data for crystalline Sr2RhSe at its relaxed geometry.

Cell lengths 8.020, 8.020, 6.695 Å; angles 53.21, 53.21, 90.00 degrees
Fractional positions:
Sr (0.375, 0.358, 0.750)
Sr (0.108, 0.625, 0.250)
Sr (0.642, 0.125, 0.250)
Sr (0.875, 0.892, 0.750)
Se (0.500, 0.500, 0.000)
Se (0.250, 0.750, 0.500)
Rh (0.000, 0.000, 0.000)
Rh (0.750, 0.250, 0.500)

Output
SG: No. 122
energy: -32.96 eV for the cell shown
V: 28.6 Å³ per atom
formation energy (no corrections): -0.570 eV per atom
Fermi-level density of states: 4.47 states/eV/cell

# 11
## Pm4SmPt5 (GGA-PBE)

Data for crystalline Pm4SmPt5 at its relaxed geometry.

Cell lengths 3.561, 3.561, 18.113 Å; angles 90.00, 90.00, 90.00 degrees
Fractional positions:
Pt (0.500, 0.500, 0.701)
Pt (0.500, 0.500, 0.901)
Pt (0.500, 0.500, 0.299)
Pt (0.500, 0.500, 0.099)
Pt (0.500, 0.500, 0.500)
Sm (0.000, 0.000, 0.000)
Pm (0.000, 0.000, 0.801)
Pm (0.000, 0.000, 0.199)
Pm (0.000, 0.000, 0.600)
Pm (0.000, 0.000, 0.400)

Output
ΔH_f (0 K): -1.085 eV/atom
SG: No. 123
energy: -64.77 eV for the cell shown
V: 23.0 Å³ per atom
Fermi-level density of states: 7.44 states/eV/cell

# 12
## Ce2Pm8Y (GGA-PBE)

Data for crystalline Ce2Pm8Y at its relaxed geometry.

Cell lengths 5.622, 8.350, 9.432 Å; angles 116.27, 107.34, 90.00 degrees
Fractional positions:
Y (0.500, 0.000, 0.000)
Ce (0.799, 0.299, 0.597)
Ce (0.201, 0.701, 0.403)
Pm (0.000, 0.702, 0.000)
Pm (0.361, 0.566, 0.721)
Pm (0.842, 0.842, 0.685)
Pm (0.639, 0.844, 0.279)
Pm (0.000, 0.298, 0.000)
Pm (0.158, 0.158, 0.315)
Pm (0.639, 0.434, 0.279)
Pm (0.361, 0.156, 0.721)

Output
ΔH_f (0 K): 0.157 eV/atom
SG: No. 71
energy: -54.61 eV for the cell shown
V: 34.0 Å³ per atom
Fermi-level density of states: 22.62 states/eV/cell

# 13
## Dy8HoEr6 (GGA-PBE)

Data for crystalline Dy8HoEr6 at its relaxed geometry.

Cell lengths 8.942, 8.942, 8.539 Å; angles 58.43, 58.43, 60.00 degrees
Fractional positions:
Er (0.460, 0.893, 0.880)
Er (0.232, 0.540, 0.120)
Er (0.107, 0.232, 0.120)
Er (0.893, 0.768, 0.880)
Er (0.768, 0.460, 0.880)
Er (0.540, 0.107, 0.120)
Ho (0.000, 0.000, 0.000)
Dy (0.577, 0.577, 0.270)
Dy (0.279, 0.890, 0.575)
Dy (0.890, 0.255, 0.575)
Dy (0.423, 0.423, 0.730)
Dy (0.745, 0.721, 0.425)
Dy (0.255, 0.279, 0.575)
Dy (0.110, 0.745, 0.425)
Dy (0.721, 0.110, 0.425)

Output
ΔH_f (0 K): 0.131 eV/atom
SG: No. 148
energy: -66.81 eV for the cell shown
V: 31.4 Å³ per atom
Fermi-level density of states: 23.38 states/eV/cell

# 14
## Pr2RuN (GGA-PBE)

Data for crystalline Pr2RuN at its relaxed geometry.

Cell lengths 3.636, 3.636, 7.534 Å; angles 76.04, 76.04, 60.00 degrees
Fractional positions:
Pr (0.764, 0.764, 0.707)
Pr (0.236, 0.236, 0.293)
Ru (0.000, 0.000, 0.000)
N (0.500, 0.500, 0.500)

Output
SG: No. 166
energy: -28.94 eV for the cell shown
V: 20.7 Å³ per atom
formation energy (no corrections): -0.444 eV per atom
Fermi-level density of states: 2.47 states/eV/cell

# 15
## KTl2Te (GGA-PBE)

Data for crystalline KTl2Te at its relaxed geometry.

Cell lengths 5.820, 5.820, 5.820 Å; angles 60.00, 60.00, 60.00 degrees
Fractional positions:
Te (0.500, 0.500, 0.500)
Tl (0.250, 0.250, 0.250)
Tl (0.750, 0.750, 0.750)
K (0.000, 0.000, 0.000)

Output
SG: No. 225
energy: -10.06 eV for the cell shown
V: 34.9 Å³ per atom
formation energy (no corrections): -0.273 eV per atom
energy above the lowest structure with this stoichiometry: 143 meV per atom
Fermi-level density of states: 2.21 states/eV/cell

# 16
## CaRe2Se (GGA-PBE)

Data for crystalline CaRe2Se at its relaxed geometry.

Cell lengths 3.864, 3.864, 11.242 Å; angles 80.10, 80.10, 90.00 degrees
Fractional positions:
Se (0.750, 0.250, 0.500)
Se (0.000, 0.000, 0.000)
Ca (0.500, 0.500, 0.000)
Ca (0.250, 0.750, 0.500)
Re (0.875, 0.936, 0.750)
Re (0.064, 0.625, 0.250)
Re (0.686, 0.125, 0.250)
Re (0.375, 0.314, 0.750)

Output
SG: No. 122
energy: -56.92 eV for the cell shown
V: 20.3 Å³ per atom
formation energy (no corrections): 0.481 eV per atom
Fermi-level density of states: 8.22 states/eV/cell

# 17
## Dy4InAgRu2 (GGA-PBE)

Data for crystalline Dy4InAgRu2 at its relaxed geometry.

Cell lengths 5.012, 5.012, 8.676 Å; angles 73.21, 73.21, 60.00 degrees
Fractional positions:
Dy (0.128, 0.128, 0.617)
Dy (0.378, 0.378, 0.866)
Dy (0.622, 0.622, 0.134)
Dy (0.872, 0.872, 0.383)
Ru (0.252, 0.252, 0.245)
Ru (0.748, 0.748, 0.755)
Ag (0.500, 0.500, 0.500)
In (0.000, 0.000, 0.000)

Output
ΔH_f (0 K): -0.335 eV/atom
SG: No. 166
energy: -45.23 eV for the cell shown
V: 22.2 Å³ per atom
Fermi-level density of states: 5.51 states/eV/cell

# 18
## Gd2InNi (GGA-PBE)

Data for crystalline Gd2InNi at its relaxed geometry.

Cell lengths 3.482, 3.482, 7.798 Å; angles 90.00, 90.00, 90.00 degrees
Fractional positions:
Gd (0.000, 0.000, 0.213)
Gd (0.000, 0.000, 0.787)
Ni (0.500, 0.500, 0.000)
In (0.500, 0.500, 0.500)

Output
ΔH_f (0 K): -0.409 eV/atom
SG: No. 123
energy: -38.32 eV for the cell shown
V: 23.6 Å³ per atom
Fermi-level density of states: 3.58 states/eV/cell

# 19
## CsTaSbI2 (GGA-PBE)

Data for crystalline CsTaSbI2 at its relaxed geometry.

Cell lengths 5.860, 5.860, 5.403 Å; angles 90.00, 90.00, 90.00 degrees
Fractional positions:
Cs (0.500, 0.500, 0.500)
Ta (0.000, 0.000, 0.000)
I (0.500, 0.000, 0.000)
I (0.000, 0.500, 0.000)
Sb (0.000, 0.000, 0.500)

Output
SG: No. 123
energy: -20.91 eV for the cell shown
V: 37.1 Å³ per atom
formation energy (no corrections): -0.197 eV per atom
Fermi-level density of states: 3.17 states/eV/cell

# 20
## CaFe3I (GGA-PBE)

Data for crystalline CaFe3I at its relaxed geometry.

Cell lengths 4.719, 4.719, 4.719 Å; angles 90.00, 90.00, 90.00 degrees
Fractional positions:
Fe (0.500, 0.000, 0.000)
Fe (0.000, 0.500, 0.000)
Fe (0.000, 0.000, 0.500)
I (0.000, 0.000, 0.000)
Ca (0.500, 0.500, 0.500)

Output
SG: No. 221
energy: -23.71 eV for the cell shown
V: 21.0 Å³ per atom
formation energy (no corrections): 1.047 eV per atom
energy above the lowest structure with this stoichiometry: 0 meV per atom
Fermi-level density of states: 7.15 states/eV/cell